Below is CeVO4 after structural relaxation, with properties calculated at the GGA+U level.

a b c (Å): 8.986 6.265 6.477
angles (deg): 66.70 90.00 90.00
Positions (direct):
O 0.389 0.949 0.171
V 0.148 0.597 0.784
O 0.044 0.429 0.221
O 0.713 0.329 0.020
O 0.320 0.257 0.418
Ce 0.155 0.076 0.296
V 0.648 0.403 0.716
O 0.889 0.051 0.329
Ce 0.655 0.924 0.204
V 0.352 0.597 0.284
Ce 0.845 0.924 0.704
O 0.787 0.329 0.520
Ce 0.345 0.076 0.796
O 0.111 0.949 0.671
O 0.456 0.429 0.721
O 0.956 0.571 0.779
O 0.611 0.051 0.829
V 0.852 0.403 0.216
O 0.820 0.743 0.082
O 0.287 0.671 0.980
O 0.213 0.671 0.480
O 0.544 0.571 0.279
O 0.180 0.257 0.918
O 0.680 0.743 0.582

The electronic total energy comes out at -8.12 eV per atom. The calculation puts the density at 5.1 g/cm³.